VASP calculation (PBE) on a relaxed structure of NaTbSbSe3.

Lattice parameters (Å, degrees): 7.6856 7.6856 10.7068 90.00 90.00 148.32
Last column: nearest neighbours and their distance in Å.
Sites, in units of the cell vectors:
1 Na 0.2458 0.7542 0.7500  2 Se 2.97
2 Na 0.7542 0.2458 0.2500  2 Se 2.97
3 Tb 0.0000 0.0000 0.0000  6 Se 2.95-3.15
4 Tb 0.0000 0.0000 0.5000  6 Se 2.95-3.15
5 Sb 0.4646 0.5354 0.2500  4 Se 2.71-3.03
6 Sb 0.5354 0.4646 0.7500  4 Se 2.71-3.03
7 Se 0.1121 0.8879 0.2500  2 Na 2.97, 2 Sb 3.03, 2 Tb 3.15
8 Se 0.3628 0.6372 0.0390  1 Sb 2.71, 2 Tb 2.95
9 Se 0.3628 0.6372 0.4610  1 Sb 2.71, 2 Tb 2.95
10 Se 0.6372 0.3628 0.5390  1 Sb 2.71, 2 Tb 2.95
11 Se 0.6372 0.3628 0.9610  1 Sb 2.71, 2 Tb 2.95
12 Se 0.8879 0.1121 0.7500  2 Na 2.97, 2 Sb 3.03, 2 Tb 3.15

Properties
Total DFT energy (no corrections) in eV/cell: -51.26
Size of the total moment in μB/f.u.: 0.01